# BeAsRhSe2 meta-GGA SCAN PBEsol geometry
# Energy relative to the elements, uncorrected ... 0.632 eV/atom
# ρ ... 6.9 g/cm³
# Total magnetization ... 0.0 μB per formula unit
# DFT total energy ... -19.06 eV/atom
data_BeAsRhSe2
_space_group_name_H-M_alt 'P 4/m m m'
_space_group_IT_number 123
_space_group_name_Hall '-P 4 2'
_cell_length_a 4.451
_cell_length_b 4.451
_cell_length_c 4.199
_cell_angle_alpha 90.00
_cell_angle_beta 90.00
_cell_angle_gamma 90.00
loop_
_atom_site_label
_atom_site_fract_x
_atom_site_fract_y
_atom_site_fract_z
Be1 0.000 0.000 0.000
As1 0.000 0.000 0.500
Rh1 0.500 0.500 0.500
Se1 0.000 0.500 0.000